Entry 1:
Density functional theory data (GGA-PBE) for a relaxed TbSi3Ir crystal.

abc: 4.1971 4.1971 9.8147
angles: 90.00 90.00 90.00
Space group I4mm (No. 107)
Inequivalent atoms, fractional coordinates:
Tb1 0.0000 0.0000 0.0000 [2 per cell]
Si1 0.0000 0.0000 0.4162 [2 per cell]
Si2 0.0000 0.5000 0.2669 [4 per cell]
Ir1 0.0000 0.0000 0.6541 [2 per cell]

Output
calculated density: 8.4 g/cm3
ΔE_f (raw): -0.789 eV per atom
Fermi-level density of states: 2.82 states/eV/cell
uncorrected energy: -6.7416 eV/atom

Entry 2:
Density functional theory data (GGA-PBE) for a relaxed Ta3AgAs crystal.

abc: 4.8964 4.8964 4.8964
angles: 90.00 90.00 90.00
Space group Pm-3m (No. 221)
Inequivalent atoms, fractional coordinates:
Ta1 0.0000 0.0000 0.5000 [3 per cell]
Ag1 0.0000 0.0000 0.0000 [1 per cell]
As1 0.5000 0.5000 0.5000 [1 per cell]

Output
energy relative to the elements: 1957 meV per atom
calculated density: 10.3 g/cm3
Fermi-level density of states: 7.10 states/eV/cell
uncorrected energy: -6.6543 eV/atom
distance to the lowest polymorph of the same formula: 955 meV per atom

Entry 3:
Density functional theory data (GGA-PBE) for a relaxed SmPaSi2O8 crystal.

abc: 7.0475 7.0475 6.2315
angles: 90.00 90.00 90.00
Space group I-4m2 (No. 119)
Inequivalent atoms, fractional coordinates:
Sm1 0.0000 0.0000 0.0000 [2 per cell]
Pa1 0.0000 0.5000 0.2500 [2 per cell]
Si1 0.0000 0.0000 0.5000 [2 per cell]
Si2 0.0000 0.5000 0.7500 [2 per cell]
O1 0.0000 0.1841 0.3353 [8 per cell]
O2 0.0000 0.3261 0.9259 [8 per cell]

Output
calculated density: 6.1 g/cm3
ΔE_f (raw): -3.226 eV per atom
Fermi-level density of states: 0.00 states/eV/cell
uncorrected energy: -8.6194 eV/atom

Entry 4:
Density functional theory data (GGA-PBE) for a relaxed Y2ZrBiN crystal.

abc: 4.9798 4.9798 4.4077
angles: 90.00 90.00 90.00
Space group P4/mmm (No. 123)
Inequivalent atoms, fractional coordinates:
Y1 0.0000 0.5000 0.0000 [2 per cell]
Zr1 0.0000 0.0000 0.5000 [1 per cell]
Bi1 0.5000 0.5000 0.5000 [1 per cell]
N1 0.0000 0.0000 0.0000 [1 per cell]

Output
calculated density: 7.5 g/cm3
ΔE_f (raw): -0.856 eV per atom
Fermi-level density of states: 4.83 states/eV/cell
uncorrected energy: -7.5922 eV/atom

Entry 5:
Density functional theory data (GGA-PBE) for a relaxed La2ZrZn crystal.

abc: 3.5217 5.4135 5.4650
angles: 90.00 90.00 90.00
Space group Pmmm (No. 47)
Inequivalent atoms, fractional coordinates:
La1 0.0000 0.0000 0.0000 [1 per cell]
La2 0.5000 0.5000 0.0000 [1 per cell]
Zr1 0.0000 0.5000 0.5000 [1 per cell]
Zn1 0.5000 0.0000 0.5000 [1 per cell]

Output
energy relative to the elements: 136 meV per atom
calculated density: 6.9 g/cm3
Fermi-level density of states: 5.57 states/eV/cell
uncorrected energy: -4.7837 eV/atom

Entry 6:
Density functional theory data (GGA-PBE) for a relaxed Tm2BiN crystal.

abc: 3.1865 3.1865 7.7481
angles: 90.00 90.00 90.00
Space group P4/mmm (No. 123)
Inequivalent atoms, fractional coordinates:
Tm1 0.0000 0.0000 0.1821 [2 per cell]
Bi1 0.5000 0.5000 0.5000 [1 per cell]
N1 0.5000 0.5000 0.0000 [1 per cell]

Output
calculated density: 11.8 g/cm3
ΔE_f (raw): -0.421 eV per atom
Fermi-level density of states: 2.63 states/eV/cell
uncorrected energy: -5.7079 eV/atom
distance to the lowest polymorph of the same formula: 856 meV per atom

Entry 7:
Density functional theory data (GGA-PBE) for a relaxed DyHf2In crystal.

abc: 3.1432 3.1432 34.7077
angles: 90.00 90.00 120.00
Space group R-3m (No. 166, hexagonal axes)
Inequivalent atoms, fractional coordinates:
Dy1 0.0000 0.0000 0.0000 [3 per cell]
Hf1 0.0000 0.0000 0.0920 [6 per cell]
In1 0.0000 0.0000 0.5000 [3 per cell]

Output
energy relative to the elements: 290 meV per atom
calculated density: 10.6 g/cm3
Fermi-level density of states: 18.40 states/eV/cell
uncorrected energy: -6.5214 eV/atom
distance to the lowest polymorph of the same formula: 378 meV per atom

Entry 8:
Density functional theory data (GGA-PBE) for a relaxed NaLiS2N crystal.

abc: 4.9270 4.9270 5.3760
angles: 90.00 90.00 90.00
Space group P4/mmm (No. 123)
Inequivalent atoms, fractional coordinates:
Na1 0.0000 0.0000 0.0000 [1 per cell]
Li1 0.0000 0.0000 0.5000 [1 per cell]
S1 0.0000 0.5000 0.0000 [2 per cell]
N1 0.5000 0.5000 0.5000 [1 per cell]

Output
calculated density: 1.4 g/cm3
ΔE_f (raw): 1.267 eV per atom
Fermi-level density of states: 2.81 states/eV/cell
uncorrected energy: -2.6957 eV/atom
distance to the lowest polymorph of the same formula: 653 meV per atom

Entry 9:
Density functional theory data (GGA-PBE) for a relaxed BaDyIn4O8 crystal.

abc: 6.8180 6.8180 16.9415
angles: 90.00 90.00 120.00
Space group R3m (No. 160, hexagonal axes)
Inequivalent atoms, fractional coordinates:
Ba1 0.0000 0.0000 0.0000 [3 per cell]
Dy1 0.0000 0.0000 0.3732 [3 per cell]
In1 0.0000 0.0000 0.7509 [3 per cell]
In2 0.0038 0.5019 0.8753 [9 per cell]
O1 0.0000 0.0000 0.1471 [3 per cell]
O2 0.0000 0.0000 0.6099 [3 per cell]
O3 0.0242 0.5121 0.1305 [9 per cell]
O4 0.1945 0.3891 0.9497 [9 per cell]

Output
calculated density: 6.5 g/cm3
ΔE_f (raw): -1.957 eV per atom
Fermi-level density of states: 5.88 states/eV/cell
uncorrected energy: -6.0388 eV/atom

Entry 10:
Density functional theory data (GGA-PBE) for a relaxed KAlP2Se8 crystal.

abc: 5.9390 5.9390 11.0248
angles: 90.00 90.00 120.00
Space group P-3 (No. 147)
Inequivalent atoms, fractional coordinates:
K1 0.0000 0.0000 0.0000 [1 per cell]
Al1 0.0000 0.0000 0.5000 [1 per cell]
P1 0.3333 0.6667 0.7185 [2 per cell]
Se1 0.0400 0.6952 0.3467 [6 per cell]
Se2 0.3333 0.6667 0.9135 [2 per cell]

Output
calculated density: 3.7 g/cm3
ΔE_f (raw): -0.261 eV per atom
Fermi-level density of states: 9.78 states/eV/cell
uncorrected energy: -3.8895 eV/atom

Entry 11:
Density functional theory data (GGA-PBE) for a relaxed Sr2LiSiAs crystal.

abc: 5.8829 5.8829 4.1973
angles: 90.00 90.00 90.00
Space group P4/mmm (No. 123)
Inequivalent atoms, fractional coordinates:
Sr1 0.0000 0.5000 0.0000 [2 per cell]
Li1 0.0000 0.0000 0.0000 [1 per cell]
Si1 0.5000 0.5000 0.5000 [1 per cell]
As1 0.0000 0.0000 0.5000 [1 per cell]

Output
calculated density: 3.3 g/cm3
ΔE_f (raw): -0.075 eV per atom
Fermi-level density of states: 3.54 states/eV/cell
uncorrected energy: -3.1450 eV/atom

Entry 12:
Density functional theory data (GGA-PBE) for a relaxed Y2PBr crystal.

abc: 4.0661 4.0413 5.7077
angles: 90.00 90.09 90.00
Space group P2/m (No. 10)
Inequivalent atoms, fractional coordinates:
Y1 0.0000 0.0000 0.0000 [1 per cell]
Y2 0.5000 0.5000 0.5000 [1 per cell]
P1 0.0000 0.0000 0.5000 [1 per cell]
Br1 0.5000 0.5000 0.0000 [1 per cell]

Output
calculated density: 5.1 g/cm3
ΔE_f (raw): -1.265 eV per atom
Fermi-level density of states: 1.87 states/eV/cell
uncorrected energy: -6.2672 eV/atom

Entry 13:
Density functional theory data (GGA-PBE) for a relaxed AcTm2In3 crystal.

abc: 3.8195 3.8195 11.6994
angles: 90.00 90.00 90.00
Space group P4/mmm (No. 123)
Inequivalent atoms, fractional coordinates:
Ac1 0.0000 0.0000 0.0000 [1 per cell]
Tm1 0.0000 0.0000 0.3460 [2 per cell]
In1 0.5000 0.5000 0.1964 [2 per cell]
In2 0.5000 0.5000 0.5000 [1 per cell]

Output
energy relative to the elements: -422 meV per atom
calculated density: 8.8 g/cm3
Fermi-level density of states: 3.67 states/eV/cell
uncorrected energy: -3.9665 eV/atom

Entry 14:
Density functional theory data (GGA-PBE) for a relaxed TcMo2Cl crystal.

abc: 3.7381 3.7381 8.8304
angles: 90.00 90.00 90.00
Space group I4/mmm (No. 139)
Inequivalent atoms, fractional coordinates:
Tc1 0.0000 0.0000 0.0000 [2 per cell]
Mo1 0.0000 0.5000 0.2500 [4 per cell]
Cl1 0.0000 0.0000 0.5000 [2 per cell]

Output
calculated density: 8.8 g/cm3
ΔE_f (raw): 0.943 eV per atom
Fermi-level density of states: 7.60 states/eV/cell
uncorrected energy: -7.5256 eV/atom
distance to the lowest polymorph of the same formula: 701 meV per atom

Entry 15:
Density functional theory data (GGA-PBE) for a relaxed CaGdCdCu crystal.

abc: 7.3455 7.3455 7.3455
angles: 90.00 90.00 90.00
Space group F-43m (No. 216)
Inequivalent atoms, fractional coordinates:
Ca1 0.0000 0.0000 0.0000 [4 per cell]
Gd1 0.0000 0.0000 0.5000 [4 per cell]
Cd1 0.2500 0.2500 0.2500 [4 per cell]
Cu1 0.2500 0.2500 0.7500 [4 per cell]

Output
energy relative to the elements: -189 meV per atom
calculated density: 6.3 g/cm3
Fermi-level density of states: 14.81 states/eV/cell
uncorrected energy: -5.4625 eV/atom

Entry 16:
Density functional theory data (GGA-PBE) for a relaxed MgCr4Hg crystal.

abc: 6.9994 6.9994 6.9994
angles: 90.00 90.00 90.00
Space group F-43m (No. 216)
Inequivalent atoms, fractional coordinates:
Mg1 0.0000 0.0000 0.0000 [4 per cell]
Cr1 0.1265 0.1265 0.3735 [16 per cell]
Hg1 0.2500 0.2500 0.7500 [4 per cell]

Output
energy relative to the elements: 485 meV per atom
calculated density: 8.4 g/cm3
Fermi-level density of states: 34.67 states/eV/cell
uncorrected energy: -6.2471 eV/atom

Entry 17:
Density functional theory data (GGA-PBE) for a relaxed LiFeSCl2 crystal.

abc: 4.4573 4.4573 4.8800
angles: 90.00 90.00 90.00
Space group P4/mmm (No. 123)
Inequivalent atoms, fractional coordinates:
Li1 0.0000 0.0000 0.0000 [1 per cell]
Fe1 0.5000 0.5000 0.5000 [1 per cell]
S1 0.0000 0.0000 0.5000 [1 per cell]
Cl1 0.0000 0.5000 0.0000 [2 per cell]

Output
calculated density: 2.8 g/cm3
ΔE_f (raw): 0.074 eV per atom
Fermi-level density of states: 4.10 states/eV/cell
uncorrected energy: -3.5652 eV/atom
distance to the lowest polymorph of the same formula: 562 meV per atom

Entry 18:
Density functional theory data (GGA-PBE) for a relaxed HgP3Cl crystal.

abc: 5.1100 5.1100 5.1100
angles: 90.00 90.00 90.00
Space group Pm-3m (No. 221)
Inequivalent atoms, fractional coordinates:
Hg1 0.0000 0.0000 0.0000 [1 per cell]
P1 0.0000 0.0000 0.5000 [3 per cell]
Cl1 0.5000 0.5000 0.5000 [1 per cell]

Output
calculated density: 4.1 g/cm3
ΔE_f (raw): 1.456 eV per atom
Fermi-level density of states: 3.70 states/eV/cell
uncorrected energy: -2.2196 eV/atom

Entry 19:
Density functional theory data (GGA-PBE) for a relaxed Th4ZrSn2 crystal.

abc: 5.4571 5.4571 26.0609
angles: 90.00 90.00 120.00
Space group R-3m (No. 166, hexagonal axes)
Inequivalent atoms, fractional coordinates:
Th1 0.0000 0.0000 0.1253 [6 per cell]
Th2 0.0000 0.0000 0.2628 [6 per cell]
Zr1 0.0000 0.0000 0.5000 [3 per cell]
Sn1 0.0000 0.0000 0.3863 [6 per cell]

Output
energy relative to the elements: -70 meV per atom
calculated density: 9.3 g/cm3
Fermi-level density of states: 30.84 states/eV/cell
uncorrected energy: -6.6745 eV/atom

Entry 20:
Density functional theory data (GGA-PBE) for a relaxed AgMoP crystal.

abc: 5.8246 5.8246 5.8246
angles: 90.00 90.00 90.00
Space group F-43m (No. 216)
Inequivalent atoms, fractional coordinates:
Ag1 0.0000 0.0000 0.0000 [4 per cell]
Mo1 0.0000 0.0000 0.5000 [4 per cell]
P1 0.2500 0.2500 0.2500 [4 per cell]

Output
energy relative to the elements: 212 meV per atom
calculated density: 7.9 g/cm3
Fermi-level density of states: 9.85 states/eV/cell
uncorrected energy: -6.1520 eV/atom
distance to the lowest polymorph of the same formula: 103 meV per atom

Entry 21:
Density functional theory data (GGA-PBE) for a relaxed Be2CuPb crystal.

abc: 2.9155 5.0585 8.4612
angles: 90.00 90.00 90.00
Space group Imm2 (No. 44)
Inequivalent atoms, fractional coordinates:
Be1 0.0000 0.0000 0.0000 [2 per cell]
Be2 0.0000 0.5000 0.2978 [2 per cell]
Cu1 0.0000 0.5000 0.7093 [2 per cell]
Pb1 0.0000 0.0000 0.5062 [2 per cell]

Output
energy relative to the elements: 639 meV per atom
calculated density: 7.7 g/cm3
Fermi-level density of states: 1.95 states/eV/cell
uncorrected energy: -3.1748 eV/atom

Entry 22:
Density functional theory data (GGA-PBE) for a relaxed K3YO crystal.

abc: 5.6409 5.6409 5.6409
angles: 90.00 90.00 90.00
Space group Pm-3m (No. 221)
Inequivalent atoms, fractional coordinates:
K1 0.0000 0.0000 0.5000 [3 per cell]
Y1 0.5000 0.5000 0.5000 [1 per cell]
O1 0.0000 0.0000 0.0000 [1 per cell]

Output
calculated density: 2.1 g/cm3
ΔE_f (raw): 0.010 eV per atom
Fermi-level density of states: 1.65 states/eV/cell
uncorrected energy: -2.9328 eV/atom
distance to the lowest polymorph of the same formula: 0 meV per atom

Entry 23:
Density functional theory data (GGA-PBE) for a relaxed CsC2F8 crystal.

abc: 10.7631 5.7573 8.9009
angles: 90.00 112.50 90.00
Space group C2/m (No. 12)
Inequivalent atoms, fractional coordinates:
Cs1 0.0000 0.0000 0.0000 [2 per cell]
C1 0.1989 0.0000 0.6204 [4 per cell]
F1 0.1462 0.0000 0.4556 [4 per cell]
F2 0.1573 0.1913 0.6745 [8 per cell]
F3 0.1659 0.5000 0.3269 [4 per cell]

Output
calculated density: 2.0 g/cm3
ΔE_f (raw): -1.630 eV per atom
Fermi-level density of states: 4.06 states/eV/cell
uncorrected energy: -4.7459 eV/atom

Entry 24:
Density functional theory data (GGA-PBE) for a relaxed SmInTc2O8 crystal.

abc: 5.2006 5.2006 11.2441
angles: 90.00 90.00 90.00
Space group I-4 (No. 82)
Inequivalent atoms, fractional coordinates:
Sm1 0.0000 0.0000 0.0000 [2 per cell]
In1 0.0000 0.5000 0.7500 [2 per cell]
Tc1 0.0000 0.0000 0.5000 [2 per cell]
Tc2 0.0000 0.5000 0.2500 [2 per cell]
O1 0.1686 0.2514 0.5886 [8 per cell]
O2 0.1778 0.7504 0.1659 [8 per cell]

Output
calculated density: 6.4 g/cm3
ΔE_f (raw): -1.746 eV per atom
Fermi-level density of states: 9.35 states/eV/cell
uncorrected energy: -7.4001 eV/atom

Entry 25:
Density functional theory data (GGA-PBE) for a relaxed NaN4 crystal.

abc: 5.1334 5.1334 5.1334
angles: 90.00 90.00 90.00
Space group Pm-3m (No. 221)
Inequivalent atoms, fractional coordinates:
Na1 0.0000 0.0000 0.0000 [1 per cell]
N1 0.0000 0.0000 0.5000 [3 per cell]
N2 0.5000 0.5000 0.5000 [1 per cell]

Output
calculated density: 1.0 g/cm3
ΔE_f (raw): 3.671 eV per atom
Fermi-level density of states: 1.43 states/eV/cell
uncorrected energy: -3.2530 eV/atom
distance to the lowest polymorph of the same formula: 3725 meV per atom

Entry 26:
Density functional theory data (GGA-PBE) for a relaxed KLiBi2F8 crystal.

abc: 4.1321 5.9563 7.7885
angles: 96.24 91.16 90.23
Space group P-1 (No. 2)
Inequivalent atoms, fractional coordinates:
K1 0.0000 0.0000 0.0000 [1 per cell]
Li1 0.0000 0.0000 0.5000 [1 per cell]
Bi1 0.4657 0.4624 0.7411 [2 per cell]
F1 0.0092 0.3585 0.2427 [2 per cell]
F2 0.0426 0.1937 0.7054 [2 per cell]
F3 0.4733 0.7315 0.5420 [2 per cell]
F4 0.4935 0.7189 0.9974 [2 per cell]

Output
calculated density: 5.4 g/cm3
ΔE_f (raw): -2.588 eV per atom
Fermi-level density of states: 0.00 states/eV/cell
uncorrected energy: -4.7331 eV/atom

Entry 27:
Density functional theory data (GGA-PBE) for a relaxed Hg2P crystal.

abc: 4.4383 4.4383 8.6630
angles: 90.00 90.00 120.00
Space group P6_3/mmc (No. 194)
Inequivalent atoms, fractional coordinates:
Hg1 0.0000 0.0000 0.0000 [2 per cell]
Hg2 0.3333 0.6667 0.2500 [2 per cell]
P1 0.3333 0.6667 0.7500 [2 per cell]

Output
energy relative to the elements: 422 meV per atom
calculated density: 9.7 g/cm3
Fermi-level density of states: 3.96 states/eV/cell
uncorrected energy: -1.5822 eV/atom
distance to the lowest polymorph of the same formula: 334 meV per atom